This record from the Alexandria database describes Pm2Hg3Pd4 after structural relaxation. The functional is PBE-GGA.

Summary:
E_form	-529.0	meV per atom
offset from the most stable computed form	25.9	meV/atom
space-group type	Cmce

abc: 9.2378 9.2378 7.5144
angles: 90.00 90.00 143.07
Atoms (fractional coordinates):
Pm: 0.1071 0.8929 0.9172
Pm: 0.3929 0.6071 0.4172
Pm: 0.6071 0.3929 0.5828
Pm: 0.8929 0.1071 0.0828
Hg: 0.0000 0.0000 0.5000
Hg: 0.0126 0.4874 0.7500
Hg: 0.4874 0.0126 0.2500
Hg: 0.5000 0.5000 0.0000
Hg: 0.5126 0.9874 0.7500
Hg: 0.9874 0.5126 0.2500
Pd: 0.1590 0.8410 0.5274
Pd: 0.1745 0.3255 0.7500
Pd: 0.3255 0.1745 0.2500
Pd: 0.3410 0.6590 0.0274
Pd: 0.6590 0.3410 0.9726
Pd: 0.6745 0.8255 0.7500
Pd: 0.8255 0.6745 0.2500
Pd: 0.8410 0.1590 0.4726


This record from the Alexandria database describes SrReIr after structural relaxation. The functional is PBE-GGA.

Summary:
E_form	881.3	meV per atom
offset from the most stable computed form	841.0	meV/atom
space-group type	P3m1

abc: 2.9397 2.9397 7.5728
angles: 90.00 90.00 120.00
Atoms (fractional coordinates):
Sr: 0.0000 0.0000 0.0000
Re: 0.3333 0.6667 0.6280
Ir: 0.6667 0.3333 0.3612


This record from the Alexandria database describes MgZn2Mo after structural relaxation. The functional is PBE-GGA.

Summary:
E_form	102.9	meV per atom
space-group type	Cm

abc: 10.2991 2.7717 4.9383
angles: 90.00 115.95 90.00
Atoms (fractional coordinates):
Mg: 0.0000 0.0000 0.0000
Mg: 0.5000 0.5000 0.0000
Zn: 0.2535 0.5000 0.0839
Zn: 0.4966 0.0000 0.5102
Zn: 0.7535 0.0000 0.0839
Zn: 0.9966 0.5000 0.5102
Mo: 0.2446 0.0000 0.5723
Mo: 0.7446 0.5000 0.5723


This record from the Alexandria database describes Pm3ThSb4 after structural relaxation. The functional is PBE-GGA.

Summary:
offset from the most stable computed form	11.9	meV/atom
space-group type	Pm-3m
formation energy from raw total energies	-1.1266	eV/atom

abc: 6.3617 6.3617 6.3617
angles: 90.00 90.00 90.00
Atoms (fractional coordinates):
Pm: 0.0000 0.0000 0.5000
Pm: 0.0000 0.5000 0.0000
Pm: 0.5000 0.0000 0.0000
Th: 0.5000 0.5000 0.5000
Sb: 0.0000 0.0000 0.0000
Sb: 0.0000 0.5000 0.5000
Sb: 0.5000 0.0000 0.5000
Sb: 0.5000 0.5000 0.0000


This record from the Alexandria database describes TmCo4Pd after structural relaxation. The functional is PBE-GGA.

Summary:
E_form	-195.0	meV per atom
space-group type	F-43m

abc: 4.8999 4.8999 4.8999
angles: 60.00 60.00 60.00
Atoms (fractional coordinates):
Tm: 0.0000 0.0000 0.0000
Co: 0.3757 0.3757 0.3757
Co: 0.3757 0.3757 0.8728
Co: 0.3757 0.8728 0.3757
Co: 0.8728 0.3757 0.3757
Pd: 0.7500 0.7500 0.7500


This record from the Alexandria database describes Rb2NaZnAg after structural relaxation. The functional is PBE-GGA.

Summary:
E_form	139.0	meV per atom
space-group type	P4/mmm

abc: 6.8673 6.8673 5.1091
angles: 90.00 90.00 90.00
Atoms (fractional coordinates):
Rb: 0.0000 0.5000 0.0000
Rb: 0.5000 0.0000 0.0000
Na: 0.0000 0.0000 0.5000
Zn: 0.5000 0.5000 0.5000
Ag: 0.5000 0.5000 0.0000


This record from the Alexandria database describes ErTh5C6 after structural relaxation. The functional is PBE-GGA.

Summary:
E_form	-249.9	meV per atom
space-group type	C2/m

abc: 6.4859 6.4859 6.4886
angles: 99.60 99.60 120.02
Atoms (fractional coordinates):
Er: 0.0000 0.0000 0.0000
Th: 0.1655 0.8345 0.5000
Th: 0.3330 0.6670 0.0000
Th: 0.5000 0.5000 0.5000
Th: 0.6670 0.3330 0.0000
Th: 0.8345 0.1655 0.5000
C: 0.0841 0.4187 0.2512
C: 0.2520 0.2520 0.7508
C: 0.4187 0.0841 0.2512
C: 0.5813 0.9159 0.7488
C: 0.7480 0.7480 0.2492
C: 0.9159 0.5813 0.7488


This record from the Alexandria database describes Tl2BCl after structural relaxation. The functional is PBE-GGA.

Summary:
offset from the most stable computed form	559.6	meV/atom
space-group type	Fm-3m
formation energy from raw total energies	0.7207	eV/atom

abc: 7.3477 7.3477 7.3477
angles: 90.00 90.00 90.00
Atoms (fractional coordinates):
Tl: 0.2500 0.2500 0.2500
Tl: 0.2500 0.2500 0.7500
Tl: 0.2500 0.7500 0.2500
Tl: 0.2500 0.7500 0.7500
Tl: 0.7500 0.2500 0.2500
Tl: 0.7500 0.2500 0.7500
Tl: 0.7500 0.7500 0.2500
Tl: 0.7500 0.7500 0.7500
B: 0.0000 0.0000 0.0000
B: 0.0000 0.5000 0.5000
B: 0.5000 0.0000 0.5000
B: 0.5000 0.5000 0.0000
Cl: 0.0000 0.0000 0.5000
Cl: 0.0000 0.5000 0.0000
Cl: 0.5000 0.0000 0.0000
Cl: 0.5000 0.5000 0.5000